Computed, not measured: a relaxed structure of Pr2ZnCdSb2O2 at the GGA-PBE level of DFT.

Computed properties:
space-group type: P-4m2
calculated total energy: -5.351 eV per atom

Lattice parameters (Å, degrees): 4.255 4.255 9.645 90.00 90.00 90.00
Element x y z (fractional)
Pr1 0.000 0.500 0.115
Pr2 0.500 0.000 0.885
Zn1 0.000 0.000 0.500
Cd1 0.500 0.500 0.500
Sb1 0.000 0.500 0.694
Sb2 0.500 0.000 0.306
O1 0.000 0.000 0.000
O2 0.500 0.500 0.000